Density functional theory data (meta-GGA SCAN) for a crystal of LiInCl2 relaxed with PBEsol.

Unit cell a=7.531 b=7.531 c=7.531 alpha=28.90 beta=28.90 gamma=28.90
Positions (direct):
Li1 0.000 0.000 0.000
In1 0.500 0.500 0.500
Cl1 0.269 0.269 0.269
Cl2 0.731 0.731 0.731

Results
formation energy without anion corrections = -5.5 eV per formula unit
ΔE to the lowest computed polymorph = 7 meV/atom
mass density = 3.62 g/cm³
volume = 88.3 Å³ per cell
space-group type = R-3m (166)